(1)
! PPtI2N, optimized geometry, DFT GGA-PBE; values from VASP
! DOS at the Fermi energy = 4.994 states/eV/f.u.
! Crystal system = tetragonal
! Polymorph energy (0 for the lowest one) = 0.0000 eV per atom
! E_tot = -3.7010 eV/atom
! Formation energy from raw total energies = 0.874 eV/atom
&SYSTEM
  ibrav = 0, nat = 5, ntyp = 4
/
ATOMIC_SPECIES
I 126.90 I.upf
P 30.97 P.upf
Pt 195.08 Pt.upf
N 14.01 N.upf
CELL_PARAMETERS angstrom
5.682 0.000 0.000
0.000 5.682 0.000
0.000 0.000 3.258
ATOMIC_POSITIONS angstrom
I 2.841 0.000 0.000
I 0.000 2.841 0.000
P 0.000 0.000 0.000
Pt 2.841 2.841 1.629
N 0.000 0.000 1.629

(2)
! SrLaY, optimized geometry, DFT GGA-PBE; values from VASP
! DOS at the Fermi energy = 6.113 states/eV/f.u.
! Formation enthalpy at 0 K = 0.759 eV/atom
! Crystal system = cubic
! Polymorph energy (0 for the lowest one) = 0.6512 eV per atom
! E_tot = -3.5986 eV/atom
&SYSTEM
  ibrav = 0, nat = 3, ntyp = 3
/
ATOMIC_SPECIES
Sr 87.62 Sr.upf
La 138.91 La.upf
Y 88.91 Y.upf
CELL_PARAMETERS angstrom
-2.547 3.926 -3.516
-4.656 -1.526 -3.204
-5.291 2.122 1.330
ATOMIC_POSITIONS angstrom
Sr -6.247 2.261 -2.695
La 0.000 0.000 0.000
Y -9.371 3.392 -4.043

(3)
! Tm2MnBe2Co5, optimized geometry, DFT GGA-PBE; values from VASP
! DOS at the Fermi energy = 8.829 states/eV/f.u.
! Formation enthalpy at 0 K = -0.166 eV/atom
! Crystal system = tetragonal
! E_tot = -6.2751 eV/atom
&SYSTEM
  ibrav = 0, nat = 20, ntyp = 4
/
ATOMIC_SPECIES
Be 9.01 Be.upf
Co 58.93 Co.upf
Tm 168.93 Tm.upf
Mn 54.94 Mn.upf
CELL_PARAMETERS angstrom
3.127 0.000 0.000
0.000 9.002 0.000
0.000 0.000 9.002
ATOMIC_POSITIONS angstrom
Be 0.000 1.063 5.564
Be 0.000 3.438 1.063
Be 0.000 5.564 7.939
Be 0.000 7.939 3.438
Co 1.563 0.000 4.501
Co 1.563 2.576 5.082
Co 1.563 8.421 1.925
Co 1.563 3.920 2.576
Co 1.563 7.077 8.421
Co 1.563 5.082 6.426
Co 1.563 4.501 0.000
Co 1.563 1.925 0.581
Co 1.563 0.581 7.077
Co 1.563 6.426 3.920
Tm 0.000 1.609 2.892
Tm 0.000 7.393 6.110
Tm 0.000 6.110 1.609
Tm 0.000 2.892 7.393
Mn 0.000 4.501 4.501
Mn 0.000 0.000 0.000

(4)
! CoBiOs2, optimized geometry, DFT GGA-PBE; values from VASP
! DOS at the Fermi energy = 4.443 states/eV/f.u.
! Formation enthalpy at 0 K = 0.930 eV/atom
! Crystal system = tetragonal
! E_tot = -7.4320 eV/atom
&SYSTEM
  ibrav = 0, nat = 8, ntyp = 3
/
ATOMIC_SPECIES
Co 58.93 Co.upf
Os 190.23 Os.upf
Bi 208.98 Bi.upf
CELL_PARAMETERS angstrom
4.017 0.000 0.000
0.000 4.017 0.000
2.008 2.008 9.034
ATOMIC_POSITIONS angstrom
Co 2.008 2.008 0.000
Co 2.008 4.017 4.517
Os 2.677 1.004 2.258
Os 5.021 4.685 6.775
Os 3.013 3.348 6.775
Os 1.340 3.013 2.258
Bi 4.017 2.008 4.517
Bi 0.000 0.000 0.000

(5)
! HfSc4Au5, optimized geometry, DFT GGA-PBE; values from VASP
! DOS at the Fermi energy = 7.045 states/eV/f.u.
! Formation enthalpy at 0 K = -0.726 eV/atom
! Crystal system = tetragonal
! E_tot = -5.8930 eV/atom
&SYSTEM
  ibrav = 0, nat = 10, ntyp = 3
/
ATOMIC_SPECIES
Au 196.97 Au.upf
Sc 44.96 Sc.upf
Hf 178.49 Hf.upf
CELL_PARAMETERS angstrom
-2.457 0.063 2.308
1.573 -2.422 1.740
8.694 12.061 8.926
ATOMIC_POSITIONS angstrom
Au 0.434 0.035 2.923
Au 7.377 9.667 10.052
Au 2.178 2.455 4.714
Au 3.906 4.851 6.487
Au 5.633 7.247 8.261
Sc 1.756 2.436 1.803
Sc 3.482 4.830 3.575
Sc 5.212 7.231 5.352
Sc 6.938 9.625 7.124
Hf 0.000 0.000 0.000

(6)
! Cs2RbHg, optimized geometry, DFT GGA-PBE; values from VASP
! DOS at the Fermi energy = 3.485 states/eV/f.u.
! Formation enthalpy at 0 K = -0.092 eV/atom
! Crystal system = monoclinic
! Polymorph energy (0 for the lowest one) = 0.0311 eV per atom
! E_tot = -0.8360 eV/atom
&SYSTEM
  ibrav = 0, nat = 4, ntyp = 3
/
ATOMIC_SPECIES
Hg 200.59 Hg.upf
Cs 132.91 Cs.upf
Rb 85.47 Rb.upf
CELL_PARAMETERS angstrom
5.315 -0.020 -0.023
2.640 4.612 -0.023
2.600 1.501 12.853
ATOMIC_POSITIONS angstrom
Hg 5.302 3.061 -0.025
Cs 2.644 1.527 2.278
Cs 2.605 1.504 10.563
Rb 5.279 3.048 6.395

(7)
! LiMn2Fe, optimized geometry, DFT GGA-PBE; values from VASP
! DOS at the Fermi energy = 4.694 states/eV/f.u.
! Formation enthalpy at 0 K = 0.223 eV/atom
! Crystal system = orthorhombic
! Polymorph energy (0 for the lowest one) = 0.0000 eV per atom
! E_tot = -6.9563 eV/atom
&SYSTEM
  ibrav = 0, nat = 4, ntyp = 3
/
ATOMIC_SPECIES
Mn 54.94 Mn.upf
Li 6.94 Li.upf
Fe 55.84 Fe.upf
CELL_PARAMETERS angstrom
2.435 0.004 0.000
-0.920 2.255 0.000
0.000 0.000 8.505
ATOMIC_POSITIONS angstrom
Mn 0.758 1.129 2.084
Mn 0.000 0.000 0.147
Li 0.758 1.129 6.388
Fe 0.000 0.000 4.139

(8)
! LaReS2Cl, optimized geometry, DFT GGA-PBE; values from VASP
! DOS at the Fermi energy = 3.825 states/eV/f.u.
! Crystal system = tetragonal
! Polymorph energy (0 for the lowest one) = 0.9771 eV per atom
! E_tot = -5.1505 eV/atom
! Formation energy from raw total energies = 0.345 eV/atom
&SYSTEM
  ibrav = 0, nat = 5, ntyp = 4
/
ATOMIC_SPECIES
Cl 35.45 Cl.upf
S 32.06 S.upf
La 138.91 La.upf
Re 186.21 Re.upf
CELL_PARAMETERS angstrom
5.557 0.000 0.000
0.000 5.557 0.000
0.000 0.000 5.422
ATOMIC_POSITIONS angstrom
Cl 0.000 0.000 2.711
S 0.000 2.778 0.000
S 2.778 0.000 0.000
La 0.000 0.000 0.000
Re 2.778 2.778 2.711

(9)
! LaPr3Er6Tm2, optimized geometry, DFT GGA-PBE; values from VASP
! DOS at the Fermi energy = 15.399 states/eV/f.u.
! Formation enthalpy at 0 K = 0.024 eV/atom
! Crystal system = monoclinic
! E_tot = -4.6077 eV/atom
&SYSTEM
  ibrav = 0, nat = 12, ntyp = 4
/
ATOMIC_SPECIES
Er 167.26 Er.upf
Tm 168.93 Tm.upf
Pr 140.91 Pr.upf
La 138.91 La.upf
CELL_PARAMETERS angstrom
-5.380 -0.225 3.079
0.349 -2.184 -5.796
4.476 -9.696 5.029
ATOMIC_POSITIONS angstrom
Er -2.656 -4.202 -0.787
Er 2.100 -7.903 3.100
Er -1.110 -2.674 2.050
Er 0.807 -3.329 -0.920
Er -1.363 -8.776 3.234
Er 0.554 -9.432 0.263
Tm -1.560 -1.532 -2.838
Tm -3.471 -0.878 0.122
Pr 1.630 -6.705 -1.798
Pr -2.186 -5.400 4.112
Pr -0.278 -6.053 1.157
La 0.000 0.000 0.000

(10)
! BaY2Mn, optimized geometry, DFT GGA-PBE; values from VASP
! DOS at the Fermi energy = 6.649 states/eV/f.u.
! Formation enthalpy at 0 K = 0.427 eV/atom
! Crystal system = orthorhombic
! Polymorph energy (0 for the lowest one) = 0.2164 eV per atom
! E_tot = -5.5781 eV/atom
&SYSTEM
  ibrav = 0, nat = 4, ntyp = 3
/
ATOMIC_SPECIES
Y 88.91 Y.upf
Mn 54.94 Mn.upf
Ba 137.33 Ba.upf
CELL_PARAMETERS angstrom
-2.583 2.695 -7.704
2.159 -1.021 -8.221
-2.329 -2.472 7.858
ATOMIC_POSITIONS angstrom
Y -0.040 0.156 -1.484
Y -2.558 0.513 -3.746
Mn -0.187 -1.345 -4.002
Ba -0.181 0.714 -6.796